a:
The following is a DFT calculation (PBE) of a geometry-optimized LaYTeI2 structure.

Structure (CIF):
```
data_LaYTeI2
_space_group_name_H-M_alt 'P 1'
_space_group_IT_number 1
_cell_length_a 5.825
_cell_length_b 5.825
_cell_length_c 5.897
_cell_angle_alpha 90.00
_cell_angle_beta 90.00
_cell_angle_gamma 90.00
loop_
_space_group_symop_operation_xyz
'x,y,z'
loop_
_atom_site_label
_atom_site_fract_x
_atom_site_fract_y
_atom_site_fract_z
La1 0.500 0.500 0.500
Y1 0.000 0.000 0.000
Te1 0.000 0.000 0.500
I1 0.000 0.500 0.000
I2 0.500 0.000 0.000
```

The value obtained for the total magnetization is 1.3 Bohr magnetons per cell.

---

b:
The following is a DFT calculation (PBE) of a geometry-optimized LaYTeI2 structure.

Structure (CIF):
```
data_LaYTeI2
_space_group_name_H-M_alt 'P 1'
_space_group_IT_number 1
_cell_length_a 6.182
_cell_length_b 6.182
_cell_length_c 6.208
_cell_angle_alpha 90.00
_cell_angle_beta 90.00
_cell_angle_gamma 90.00
loop_
_space_group_symop_operation_xyz
'x,y,z'
loop_
_atom_site_label
_atom_site_fract_x
_atom_site_fract_y
_atom_site_fract_z
I1 0.000 0.500 0.000
I2 0.500 0.000 0.000
La1 0.000 0.000 0.000
Y1 0.500 0.500 0.500
Te1 0.000 0.000 0.500
```

The value obtained for the total magnetization is 0.1 Bohr magnetons per cell.

---

Most stable of them? a.

---

a:
The following is a DFT calculation (PBE) of a geometry-optimized LaZnTeI2 structure.

Structure (CIF):
```
data_LaZnTeI2
_space_group_name_H-M_alt 'P 1'
_space_group_IT_number 1
_cell_length_a 6.283
_cell_length_b 6.283
_cell_length_c 6.343
_cell_angle_alpha 90.00
_cell_angle_beta 90.00
_cell_angle_gamma 90.00
loop_
_space_group_symop_operation_xyz
'x,y,z'
loop_
_atom_site_label
_atom_site_fract_x
_atom_site_fract_y
_atom_site_fract_z
I1 0.000 0.500 0.000
Te1 0.000 0.000 0.500
Zn1 0.500 0.500 0.500
La1 0.000 0.000 0.000
I2 0.500 0.000 0.000
```

The value obtained for the total magnetization is 0.9 Bohr magnetons per cell.

---

b:
The following is a DFT calculation (PBE) of a geometry-optimized LaZnTeI2 structure.

Structure (CIF):
```
data_LaZnTeI2
_space_group_name_H-M_alt 'P 1'
_space_group_IT_number 1
_cell_length_a 5.493
_cell_length_b 5.493
_cell_length_c 5.527
_cell_angle_alpha 90.00
_cell_angle_beta 90.00
_cell_angle_gamma 90.00
loop_
_space_group_symop_operation_xyz
'x,y,z'
loop_
_atom_site_label
_atom_site_fract_x
_atom_site_fract_y
_atom_site_fract_z
I1 0.000 0.500 0.000
I2 0.500 0.000 0.000
Zn1 0.000 0.000 0.000
La1 0.500 0.500 0.500
Te1 0.000 0.000 0.500
```

The value obtained for the total magnetization is 0.4 Bohr magnetons per cell.

---

Most stable of them? a.

---

a:
The following is a DFT calculation (PBE) of a geometry-optimized La2ThI structure.

Structure (CIF):
```
data_La2ThI
_space_group_name_H-M_alt 'P 1'
_space_group_IT_number 1
_cell_length_a 3.640
_cell_length_b 3.640
_cell_length_c 12.354
_cell_angle_alpha 81.53
_cell_angle_beta 81.53
_cell_angle_gamma 60.00
loop_
_space_group_symop_operation_xyz
'x,y,z'
loop_
_atom_site_label
_atom_site_fract_x
_atom_site_fract_y
_atom_site_fract_z
La1 0.095 0.095 0.715
Th1 0.000 0.000 0.000
I1 0.500 0.500 0.500
La2 0.905 0.905 0.285
```

The value obtained for the total magnetization is 0.0 Bohr magnetons per cell.

---

b:
The following is a DFT calculation (PBE) of a geometry-optimized La2ThI structure.

Structure (CIF):
```
data_La2ThI
_space_group_name_H-M_alt 'P 1'
_space_group_IT_number 1
_cell_length_a 3.828
_cell_length_b 3.828
_cell_length_c 11.184
_cell_angle_alpha 80.14
_cell_angle_beta 80.14
_cell_angle_gamma 60.01
loop_
_space_group_symop_operation_xyz
'x,y,z'
loop_
_atom_site_label
_atom_site_fract_x
_atom_site_fract_y
_atom_site_fract_z
La1 0.079 0.079 0.763
I1 0.667 0.667 0.001
La2 0.254 0.254 0.236
Th1 0.500 0.500 0.500
```

The value obtained for the total magnetization is 0.0 Bohr magnetons per cell.

---

Most stable of them? b.

---

a:
The following is a DFT calculation (PBE) of a geometry-optimized La2TiI structure.

Structure (CIF):
```
data_La2TiI
_space_group_name_H-M_alt 'P 1'
_space_group_IT_number 1
_cell_length_a 8.689
_cell_length_b 8.689
_cell_length_c 7.001
_cell_angle_alpha 51.64
_cell_angle_beta 51.64
_cell_angle_gamma 90.00
loop_
_space_group_symop_operation_xyz
'x,y,z'
loop_
_atom_site_label
_atom_site_fract_x
_atom_site_fract_y
_atom_site_fract_z
La1 0.375 0.376 0.750
La2 0.126 0.625 0.250
Ti1 0.500 0.500 0.000
La3 0.875 0.874 0.750
I1 0.000 0.000 0.000
Ti2 0.250 0.750 0.500
La4 0.624 0.125 0.250
I2 0.750 0.250 0.500
```

The value obtained for the total magnetization is 4.5 Bohr magnetons per cell.

---

b:
The following is a DFT calculation (PBE) of a geometry-optimized La2TiI structure.

Structure (CIF):
```
data_La2TiI
_space_group_name_H-M_alt 'P 1'
_space_group_IT_number 1
_cell_length_a 5.563
_cell_length_b 5.563
_cell_length_c 5.563
_cell_angle_alpha 60.00
_cell_angle_beta 60.00
_cell_angle_gamma 60.00
loop_
_space_group_symop_operation_xyz
'x,y,z'
loop_
_atom_site_label
_atom_site_fract_x
_atom_site_fract_y
_atom_site_fract_z
Ti1 0.000 0.000 0.000
I1 0.500 0.500 0.500
La1 0.250 0.250 0.250
La2 0.750 0.750 0.750
```

The value obtained for the total magnetization is 3.0 Bohr magnetons per cell.

---

Most stable of them? b.

---

a:
The following is a DFT calculation (PBE) of a geometry-optimized LaTi3I structure.

Structure (CIF):
```
data_LaTi3I
_space_group_name_H-M_alt 'P 1'
_space_group_IT_number 1
_cell_length_a 5.091
_cell_length_b 5.091
_cell_length_c 5.091
_cell_angle_alpha 90.00
_cell_angle_beta 90.00
_cell_angle_gamma 90.00
loop_
_space_group_symop_operation_xyz
'x,y,z'
loop_
_atom_site_label
_atom_site_fract_x
_atom_site_fract_y
_atom_site_fract_z
Ti1 0.500 0.000 0.000
La1 0.500 0.500 0.500
I1 0.000 0.000 0.000
Ti2 0.000 0.000 0.500
Ti3 0.000 0.500 0.000
```

The value obtained for the total magnetization is 2.1 Bohr magnetons per cell.

---

b:
The following is a DFT calculation (PBE) of a geometry-optimized LaTi3I structure.

Structure (CIF):
```
data_LaTi3I
_space_group_name_H-M_alt 'P 1'
_space_group_IT_number 1
_cell_length_a 4.939
_cell_length_b 4.939
_cell_length_c 4.939
_cell_angle_alpha 90.00
_cell_angle_beta 90.00
_cell_angle_gamma 90.00
loop_
_space_group_symop_operation_xyz
'x,y,z'
loop_
_atom_site_label
_atom_site_fract_x
_atom_site_fract_y
_atom_site_fract_z
La1 0.000 0.000 0.000
I1 0.500 0.500 0.500
Ti1 0.500 0.000 0.000
Ti2 0.000 0.000 0.500
Ti3 0.000 0.500 0.000
```

The value obtained for the total magnetization is 0.0 Bohr magnetons per cell.

---

Most stable of them? a.

---

a:
The following is a DFT calculation (PBE) of a geometry-optimized LaTl2I structure.

Structure (CIF):
```
data_LaTl2I
_space_group_name_H-M_alt 'P 1'
_space_group_IT_number 1
_cell_length_a 9.376
_cell_length_b 9.376
_cell_length_c 7.385
_cell_angle_alpha 50.60
_cell_angle_beta 50.60
_cell_angle_gamma 90.00
loop_
_space_group_symop_operation_xyz
'x,y,z'
loop_
_atom_site_label
_atom_site_fract_x
_atom_site_fract_y
_atom_site_fract_z
Tl1 0.639 0.125 0.250
I1 0.500 0.500 0.000
Tl2 0.375 0.361 0.750
La1 0.000 0.000 0.000
I2 0.250 0.750 0.500
La2 0.750 0.250 0.500
Tl3 0.875 0.889 0.750
Tl4 0.111 0.625 0.250
```

The value obtained for the total magnetization is 0.0 Bohr magnetons per cell.

---

b:
The following is a DFT calculation (PBE) of a geometry-optimized LaTl2I structure.

Structure (CIF):
```
data_LaTl2I
_space_group_name_H-M_alt 'P 1'
_space_group_IT_number 1
_cell_length_a 5.748
_cell_length_b 5.748
_cell_length_c 5.748
_cell_angle_alpha 60.00
_cell_angle_beta 60.00
_cell_angle_gamma 60.00
loop_
_space_group_symop_operation_xyz
'x,y,z'
loop_
_atom_site_label
_atom_site_fract_x
_atom_site_fract_y
_atom_site_fract_z
Tl1 0.750 0.750 0.750
I1 0.000 0.000 0.000
La1 0.500 0.500 0.500
Tl2 0.250 0.250 0.250
```

The value obtained for the total magnetization is 0.0 Bohr magnetons per cell.

---

Most stable of them? a.